## Cd2Fe2Au (meta-GGA SCAN)

Data for a crystal of Cd2Fe2Au relaxed with PBEsol.

Values from the calculation:
DOS(E_F): 0.504 states/eV per atom
symmetry: I4/mmm
theoretical density: 10.19 g cm⁻³
E_form: 0.51 eV per atom

Structure (extended XYZ):
```
5
Lattice="-1.8920 1.8920 6.0735 1.8920 -1.8920 6.0735 1.8920 1.8920 -6.0735" Properties=species:S:1:pos:R:3 pbc="T T T"
Cd 1.8920 0.0000 3.0367
Cd 0.0000 1.8920 3.0367
Fe 0.0000 0.0000 1.0379
Fe 0.0000 0.0000 11.1090
Au 0.0000 0.0000 6.0735
```